! CaTiV2Os PBE relaxed; values from VASP
&SYSTEM
  ibrav = 0, nat = 5, ntyp = 4
/
ATOMIC_SPECIES
Ca 40.08 Ca.upf
Ti 47.87 Ti.upf
V 50.94 V.upf
Os 190.23 Os.upf
CELL_PARAMETERS angstrom
4.213 0.000 0.000
0.000 4.213 0.000
0.000 0.000 4.492
ATOMIC_POSITIONS angstrom
Ca 0.000 0.000 0.000
Ti 0.000 0.000 2.246
V 0.000 2.106 0.000
V 2.106 0.000 0.000
Os 2.106 2.106 2.246
! **Space group**: P4/mmm (123)
! **ΔE_f**: 1042 kJ/mol of formula units
! **Total DFT energy (no corrections)**: -28.56 eV/cell
! **M_tot**: 0.00 μB/f.u.

! Ta6Rh5W PBE relaxed; values from VASP
&SYSTEM
  ibrav = 0, nat = 12, ntyp = 3
/
ATOMIC_SPECIES
Ta 180.95 Ta.upf
Rh 102.91 Rh.upf
W 183.84 W.upf
CELL_PARAMETERS angstrom
4.733 0.000 0.000
0.000 5.992 0.000
-1.013 0.000 6.896
ATOMIC_POSITIONS angstrom
Ta 0.000 1.486 0.000
Ta 0.000 4.505 0.000
Ta 0.989 1.505 4.597
Ta 0.989 4.486 4.597
Ta 2.731 1.505 2.299
Ta 2.731 4.486 2.299
Rh 0.320 2.996 2.307
Rh 0.374 0.000 2.307
Rh 2.366 0.000 0.000
Rh 3.346 0.000 4.589
Rh 3.400 2.996 4.589
W 2.366 2.996 0.000
! **Space group**: P2/m (10)
! **ΔE_f**: -383 kJ/mol of formula units
! **Total DFT energy (no corrections)**: -124.80 eV/cell
! **M_tot**: 0.00 μB/f.u.

! RbSr2Ca PBE relaxed; values from VASP
&SYSTEM
  ibrav = 0, nat = 4, ntyp = 3
/
ATOMIC_SPECIES
Rb 85.47 Rb.upf
Sr 87.62 Sr.upf
Ca 40.08 Ca.upf
CELL_PARAMETERS angstrom
2.103 1.214 15.133
-2.103 1.214 15.133
0.000 -2.429 15.133
ATOMIC_POSITIONS angstrom
Rb 0.000 0.000 0.000
Sr 0.000 0.000 4.287
Sr 0.000 0.000 41.111
Ca 0.000 0.000 22.699
! **Space group**: R-3m (166)
! **ΔE_f**: 49 kJ/mol of formula units
! **Total DFT energy (no corrections)**: -5.82 eV/cell
! **M_tot**: 0.00 μB/f.u.
! **Energy relative to the lowest polymorph listed for this composition**: 43 meV per atom

! SrY2Co PBE relaxed; values from VASP
&SYSTEM
  ibrav = 0, nat = 4, ntyp = 3
/
ATOMIC_SPECIES
Sr 87.62 Sr.upf
Y 88.91 Y.upf
Co 58.93 Co.upf
CELL_PARAMETERS angstrom
3.598 0.000 0.000
0.000 3.598 0.000
0.000 0.000 8.989
ATOMIC_POSITIONS angstrom
Sr 0.000 0.000 0.000
Y 0.000 0.000 5.621
Y 1.799 1.799 3.126
Co 1.799 1.799 6.906
! **Space group**: P4mm (99)
! **ΔE_f**: 61 kJ/mol of formula units
! **Total DFT energy (no corrections)**: -21.08 eV/cell
! **M_tot**: 1.28 μB/f.u.
! **Energy relative to the lowest polymorph listed for this composition**: 162 meV per atom

! Mg2PdAu4 PBE relaxed; values from VASP
&SYSTEM
  ibrav = 0, nat = 7, ntyp = 3
/
ATOMIC_SPECIES
Mg 24.30 Mg.upf
Pd 106.42 Pd.upf
Au 196.97 Au.upf
CELL_PARAMETERS angstrom
-2.825 2.825 4.119
2.825 -2.825 4.119
2.825 2.825 -4.119
ATOMIC_POSITIONS angstrom
Mg 2.825 0.000 0.000
Mg 0.000 2.825 0.000
Pd 0.000 0.000 0.000
Au 1.413 1.413 -2.060
Au 1.413 -1.413 2.060
Au -1.413 1.413 2.060
Au 1.413 1.413 2.060
! **Space group**: I4/mmm (139)
! **ΔE_f**: -307 kJ/mol of formula units
! **Total DFT energy (no corrections)**: -24.67 eV/cell
! **M_tot**: 0.00 μB/f.u.
! **Energy relative to the lowest polymorph listed for this composition**: 0 meV per atom

! Y3Ga9Ir2 PBE relaxed; values from VASP
&SYSTEM
  ibrav = 0, nat = 14, ntyp = 3
/
ATOMIC_SPECIES
Y 88.91 Y.upf
Ga 69.72 Ga.upf
Ir 192.22 Ir.upf
CELL_PARAMETERS angstrom
-2.135 4.765 6.217
2.135 -4.765 6.217
2.135 4.765 -6.217
ATOMIC_POSITIONS angstrom
Y 0.000 0.000 0.000
Y 0.000 0.000 3.706
Y 0.000 0.000 8.727
Ga 2.135 -1.293 1.924
Ga 2.135 -2.075 4.551
Ga 2.135 1.293 1.924
Ga 0.000 2.690 1.666
Ga 0.000 4.765 0.000
Ga 2.135 2.075 4.551
Ga 0.000 3.472 4.293
Ga 0.000 6.840 1.666
Ga 0.000 6.058 4.293
Ir 2.135 3.062 0.000
Ir 0.000 1.703 6.217
! **Space group**: Immm (71)
! **ΔE_f**: -843 kJ/mol of formula units
! **Total DFT energy (no corrections)**: -73.10 eV/cell
! **M_tot**: 0.00 μB/f.u.

! TaAgPO2 PBE relaxed; values from VASP
&SYSTEM
  ibrav = 0, nat = 5, ntyp = 4
/
ATOMIC_SPECIES
Ta 180.95 Ta.upf
Ag 107.87 Ag.upf
P 30.97 P.upf
O 16.00 O.upf
CELL_PARAMETERS angstrom
3.863 0.000 0.000
0.000 3.863 0.000
0.000 0.000 5.446
ATOMIC_POSITIONS angstrom
Ta 0.000 0.000 0.000
Ag 1.932 1.932 2.723
P 0.000 0.000 2.723
O 0.000 1.932 0.000
O 1.932 0.000 0.000
! **Space group**: P4/mmm (123)
! **Total DFT energy (no corrections)**: -36.56 eV/cell
! **M_tot**: 0.00 μB/f.u.
! **Energy relative to the lowest polymorph listed for this composition**: 0 meV per atom
! **Formation energy without anion corrections**: -6.53 eV/f.u.

! SmHoCd PBE relaxed; values from VASP
&SYSTEM
  ibrav = 0, nat = 6, ntyp = 3
/
ATOMIC_SPECIES
Sm 150.36 Sm.upf
Ho 164.93 Ho.upf
Cd 112.41 Cd.upf
CELL_PARAMETERS angstrom
6.161 0.000 0.000
0.000 3.381 0.000
0.000 0.000 8.242
ATOMIC_POSITIONS angstrom
Sm 0.000 0.000 0.000
Sm 3.080 0.000 0.000
Ho 1.540 0.000 3.170
Ho 4.621 0.000 5.072
Cd 1.540 1.691 5.826
Cd 4.621 1.691 2.415
! **Space group**: Pmma (51)
! **ΔE_f**: -9 kJ/mol of formula units
! **Total DFT energy (no corrections)**: -20.61 eV/cell
! **M_tot**: 0.00 μB/f.u.
! **Energy relative to the lowest polymorph listed for this composition**: 162 meV per atom

! PrPu5Se6 PBE relaxed; values from VASP
&SYSTEM
  ibrav = 0, nat = 12, ntyp = 3
/
ATOMIC_SPECIES
Pr 140.91 Pr.upf
Pu 244.00 Pu.upf
Se 78.96 Se.upf
CELL_PARAMETERS angstrom
3.613 -6.253 0.000
3.613 6.253 0.000
-2.406 0.000 6.808
ATOMIC_POSITIONS angstrom
Pr 0.000 0.000 0.000
Pu 2.410 4.200 3.404
Pu 3.613 2.091 0.000
Pu 2.410 0.000 3.404
Pu 3.613 -2.091 0.000
Pu 2.410 -4.200 3.404
Se 1.229 2.123 1.732
Se 0.050 0.000 5.090
Se 1.229 -2.123 1.732
Se 3.591 2.123 5.076
Se 4.769 0.000 1.718
Se 3.591 -2.123 5.076
! **Space group**: C2/m (12)
! **Total DFT energy (no corrections)**: -116.36 eV/cell
! **M_tot**: 28.92 μB/f.u.
! **Formation energy without anion corrections**: -19.01 eV/f.u.

! Pm4NdSb5 PBE relaxed; values from VASP
&SYSTEM
  ibrav = 0, nat = 10, ntyp = 3
/
ATOMIC_SPECIES
Pm 145.00 Pm.upf
Nd 144.24 Nd.upf
Sb 121.76 Sb.upf
CELL_PARAMETERS angstrom
-2.251 3.178 11.240
2.251 -3.178 11.240
2.251 3.178 -11.240
ATOMIC_POSITIONS angstrom
Pm 0.000 0.000 2.249
Pm 0.000 0.000 6.736
Pm 0.000 0.000 15.743
Pm 0.000 0.000 20.230
Nd 0.000 0.000 11.240
Sb 2.251 0.000 0.000
Sb 2.251 0.000 4.493
Sb 2.251 0.000 8.975
Sb 0.000 3.178 2.264
Sb 0.000 3.178 6.746
! **Space group**: Immm (71)
! **Total DFT energy (no corrections)**: -56.27 eV/cell
! **M_tot**: 0.00 μB/f.u.
! **Formation energy without anion corrections**: -11.88 eV/f.u.

! Er2GePb PBE relaxed; values from VASP
&SYSTEM
  ibrav = 0, nat = 4, ntyp = 3
/
ATOMIC_SPECIES
Er 167.26 Er.upf
Ge 72.64 Ge.upf
Pb 207.20 Pb.upf
CELL_PARAMETERS angstrom
1.998 1.154 8.076
-1.998 1.154 8.076
0.000 -2.307 8.076
ATOMIC_POSITIONS angstrom
Er 0.000 0.000 5.670
Er 0.000 0.000 18.558
Ge 0.000 0.000 12.114
Pb 0.000 0.000 0.000
! **Space group**: R-3m (166)
! **ΔE_f**: -212 kJ/mol of formula units
! **Total DFT energy (no corrections)**: -19.65 eV/cell
! **M_tot**: 0.00 μB/f.u.

! NaPdF PBE relaxed; values from VASP
&SYSTEM
  ibrav = 0, nat = 6, ntyp = 3
/
ATOMIC_SPECIES
Na 22.99 Na.upf
Pd 106.42 Pd.upf
F 19.00 F.upf
CELL_PARAMETERS angstrom
2.979 0.000 0.000
0.000 1.434 10.319
0.000 -1.434 10.319
ATOMIC_POSITIONS angstrom
Na 0.000 0.000 0.000
Na 1.489 0.000 2.883
Pd 0.000 0.000 15.765
Pd 1.489 0.000 7.264
F 0.000 0.000 12.260
F 1.489 0.000 9.501
! **Space group**: Amm2 (38)
! **Total DFT energy (no corrections)**: -25.56 eV/cell
! **M_tot**: 0.31 μB/f.u.
! **Energy relative to the lowest polymorph listed for this composition**: 0 meV per atom
! **Formation energy without anion corrections**: -4.40 eV/f.u.

Q: Among the records above, which one has the lowest total DFT energy (no corrections)?
A: Ta6Rh5W